Entry from the Alexandria database: an optimized crystal structure of DyInGa2Br6 (GGA-PBE).

Calculated values
E_form (uncorrected) = -1096 meV per atom
Symmetry = No. 1

abc: 7.8159 7.8168 8.3169
angles: 61.94 61.93 59.95
Fractional coordinates of all 10 atoms:
Br1 0.9632 0.5695 0.2364
Ga1 0.5170 0.5171 0.4497
Br2 0.7001 0.1352 0.7668
Br3 0.5691 0.2311 0.2362
Dy1 0.3248 0.3247 0.0255
Br4 0.2309 0.9634 0.2366
Ga2 0.0083 0.0085 0.9747
Br5 0.1358 0.3978 0.7667
Br6 0.3977 0.6997 0.7665
In1 0.8145 0.8146 0.5560

Entry from the Alexandria database: an optimized crystal structure of Pm2Mg5Ir4 (GGA-PBE).

Calculated values
ΔH_f (0 K) = -0.284 eV per atom
Symmetry = No. 12

abc: 5.7435 7.0549 6.7308
angles: 75.28 64.74 65.98
Fractional coordinates of all 11 atoms:
Mg1 0.7638 0.8018 0.1585
Ir1 0.2294 0.4687 0.0725
Ir2 0.2830 0.1149 0.3192
Pm1 0.7194 0.2383 0.3229
Ir3 0.7706 0.5313 0.9275
Mg2 0.2759 0.8018 0.1585
Mg3 0.0000 0.5000 0.5000
Pm2 0.2806 0.7617 0.6771
Ir4 0.7170 0.8851 0.6808
Mg4 0.2362 0.1982 0.8415
Mg5 0.7241 0.1982 0.8415

Entry from the Alexandria database: an optimized crystal structure of CuReP2 (GGA-PBE).

Calculated values
ΔH_f (0 K) = 0.170 eV per atom
ΔE to the lowest computed polymorph = 225 meV/atom
Symmetry = No. 99

abc: 3.1924 3.1924 6.2478
angles: 90.00 90.00 90.00
Fractional coordinates of all 4 atoms:
P1 0.0000 0.0000 0.8830
P2 0.5000 0.5000 0.3453
Cu1 0.5000 0.5000 0.7671
Re1 0.0000 0.0000 0.5046

Entry from the Alexandria database: an optimized crystal structure of Ho2Nb2S7O30 (GGA-PBE).

Calculated values
E_form (uncorrected) = -1755 meV per atom
Symmetry = No. 113

abc: 7.0900 12.8412 12.8412
angles: 90.00 90.00 90.00
Fractional coordinates of all 82 atoms:
O1 0.3342 0.2864 0.4581
O2 0.0749 0.8443 0.6557
O3 0.9251 0.3443 0.8443
O4 0.2199 0.9336 0.4336
O5 0.2772 0.5657 0.4257
O6 0.6658 0.5419 0.2864
O7 0.3342 0.7136 0.5419
O8 0.8787 0.6057 0.7300
O9 0.4588 0.8659 0.2118
O10 0.4588 0.2882 0.6341
O11 0.2100 0.2958 0.2042
Ho1 0.5951 0.3036 0.8036
O12 0.7344 0.8230 0.6770
O13 0.1383 0.3574 0.9918
S1 0.6963 0.5654 0.6782
S2 0.3423 0.0000 0.5000
O14 0.2772 0.4343 0.5743
O15 0.8617 0.1426 0.4918
O16 0.7228 0.4257 0.4343
O17 0.5412 0.7882 0.8659
O18 0.8617 0.9918 0.6426
O19 0.7801 0.5664 0.9336
Ho2 0.4049 0.8036 0.6964
O20 0.8617 0.0082 0.3574
Ho3 0.5951 0.6964 0.1964
O21 0.2772 0.0743 0.9343
S3 0.6963 0.8218 0.9346
O22 0.8617 0.8574 0.5082
O23 0.8787 0.7700 0.8943
O24 0.0749 0.1557 0.3443
O25 0.7228 0.5743 0.5657
O26 0.2772 0.9257 0.0657
S4 0.3037 0.6782 0.4346
S5 0.6577 0.5000 0.0000
O27 0.1383 0.6426 0.0082
O28 0.2656 0.6770 0.1770
O29 0.1213 0.1057 0.7700
O30 0.1213 0.2700 0.6057
Nb1 0.0226 0.6391 0.8609
S6 0.8876 0.1233 0.3767
O31 0.7900 0.7958 0.2958
O32 0.3342 0.9581 0.7864
S7 0.1124 0.6233 0.1233
O33 0.1383 0.4918 0.8574
S8 0.1124 0.3767 0.8767
S9 0.8876 0.8767 0.6233
O34 0.2199 0.0664 0.5664
Nb2 0.0226 0.3609 0.1391
O35 0.6658 0.7864 0.0419
O36 0.5412 0.3659 0.2882
O37 0.3342 0.0419 0.2136
O38 0.2100 0.7042 0.7958
O39 0.4579 0.9326 0.5674
O40 0.5421 0.5674 0.0674
Nb3 0.9774 0.1391 0.6391
O41 0.7228 0.9343 0.9257
Ho4 0.4049 0.1964 0.3036
O42 0.7900 0.2042 0.7042
O43 0.6658 0.4581 0.7136
O44 0.4588 0.1341 0.7882
O45 0.9251 0.6557 0.1557
S10 0.3037 0.9346 0.1782
O46 0.8787 0.3943 0.2700
O47 0.5412 0.6341 0.7118
Nb4 0.9774 0.8609 0.3609
O48 0.1383 0.5082 0.1426
O49 0.1213 0.7300 0.3943
S11 0.6963 0.1782 0.0654
O50 0.7344 0.1770 0.3230
S12 0.6963 0.4346 0.3218
O51 0.2656 0.3230 0.8230
O52 0.5421 0.4326 0.9326
O53 0.6658 0.2136 0.9581
O54 0.7801 0.4336 0.0664
O55 0.8787 0.2300 0.1057
O56 0.4588 0.7118 0.3659
O57 0.1213 0.8943 0.2300
S13 0.3037 0.3218 0.5654
S14 0.3037 0.0654 0.8218
O58 0.5412 0.2118 0.1341
O59 0.7228 0.0657 0.0743
O60 0.4579 0.0674 0.4326

Entry from the Alexandria database: an optimized crystal structure of Ca2AsPb2 (GGA-PBE).

Calculated values
ΔH_f (0 K) = -0.400 eV per atom
Symmetry = No. 127

abc: 7.9382 7.9382 4.6994
angles: 90.00 90.00 90.00
Fractional coordinates of all 10 atoms:
Ca1 0.8292 0.3292 0.5000
As1 0.5000 0.5000 0.0000
Ca2 0.6708 0.8292 0.5000
Pb1 0.6366 0.1366 0.0000
Ca3 0.1708 0.6708 0.5000
As2 0.0000 0.0000 0.0000
Pb2 0.1366 0.3634 0.0000
Ca4 0.3292 0.1708 0.5000
Pb3 0.3634 0.8634 0.0000
Pb4 0.8634 0.6366 0.0000

Entry from the Alexandria database: an optimized crystal structure of TmBeInCu (GGA-PBE).

Calculated values
ΔH_f (0 K) = -0.133 eV per atom
Symmetry = No. 216

abc: 4.5930 4.5930 4.5930
angles: 60.00 60.00 60.00
Fractional coordinates of all 4 atoms:
Cu1 0.5000 0.5000 0.5000
Tm1 0.7500 0.7500 0.7500
Be1 0.0000 0.0000 0.0000
In1 0.2500 0.2500 0.2500

Entry from the Alexandria database: an optimized crystal structure of CaZr2Co (GGA-PBE).

Calculated values
ΔH_f (0 K) = 0.131 eV per atom
ΔE to the lowest computed polymorph = 98 meV/atom
Symmetry = No. 166

abc: 9.4545 9.4545 9.4545
angles: 21.44 21.44 21.44
Fractional coordinates of all 4 atoms:
Zr1 0.4711 0.4711 0.4711
Ca1 0.2500 0.2500 0.2500
Co1 0.7500 0.7500 0.7500
Zr2 0.0289 0.0289 0.0289

Entry from the Alexandria database: an optimized crystal structure of LiAg2Te5 (GGA-PBE).

Calculated values
E_form (uncorrected) = -151 meV per atom
Symmetry = No. 1

abc: 8.5191 8.5259 6.7398
angles: 128.92 128.87 89.94
Fractional coordinates of all 8 atoms:
Te1 0.3672 0.8685 0.1933
Li1 0.0948 0.0945 0.1896
Te2 0.8695 0.8270 0.1948
Ag1 0.0989 0.5992 0.1973
Ag2 0.5986 0.0986 0.1974
Te3 0.5965 0.5963 0.1928
Te4 0.3248 0.3678 0.1945
Te5 0.8266 0.3251 0.1943

Entry from the Alexandria database: an optimized crystal structure of Dy3Y3Sc (GGA-PBE).

Calculated values
ΔH_f (0 K) = 0.020 eV per atom
ΔE to the lowest computed polymorph = 0 meV/atom
Symmetry = No. 176

abc: 5.5946 9.4847 9.4849
angles: 120.02 90.00 90.00
Fractional coordinates of all 14 atoms:
Sc1 0.2500 0.6667 0.3333
Sc2 0.7500 0.3333 0.6667
Dy1 0.2500 0.2407 0.1891
Y1 0.2500 0.5230 0.6198
Y2 0.7500 0.6199 0.0967
Dy2 0.2500 0.8109 0.0517
Dy3 0.7500 0.7593 0.8109
Dy4 0.7500 0.0519 0.2409
Y3 0.2500 0.3801 0.9033
Dy5 0.2500 0.9481 0.7591
Y4 0.2500 0.0965 0.4768
Y5 0.7500 0.9035 0.5232
Y6 0.7500 0.4770 0.3802
Dy6 0.7500 0.1891 0.9483

Entry from the Alexandria database: an optimized crystal structure of Ho2S3O12 (GGA-PBE).

Calculated values
E_form (uncorrected) = -2174 meV per atom
Symmetry = No. 60

abc: 9.2675 9.3527 12.9580
angles: 90.00 90.00 90.00
Fractional coordinates of all 68 atoms:
O1 0.6433 0.2612 0.1677
Ho1 0.7499 0.5356 0.6166
O2 0.1433 0.2612 0.3323
O3 0.8733 0.6523 0.0604
O4 0.4499 0.0912 0.1464
S1 0.5341 0.2500 0.5000
O5 0.8259 0.5160 0.2751
O6 0.8259 0.9840 0.7249
O7 0.3733 0.8477 0.5604
O8 0.9499 0.4088 0.6464
S2 0.6087 0.1096 0.1453
O9 0.1267 0.1523 0.0604
O10 0.8334 0.5693 0.4571
O11 0.8733 0.8477 0.9396
O12 0.6666 0.0693 0.0429
Ho2 0.2501 0.0356 0.6166
O13 0.8334 0.9307 0.5429
S3 0.1087 0.3904 0.6453
O14 0.3334 0.9307 0.9571
S4 0.3913 0.8904 0.8547
O15 0.9499 0.0912 0.3536
O16 0.0501 0.5912 0.3536
Ho3 0.7501 0.4644 0.1166
O17 0.8567 0.7388 0.6677
O18 0.6267 0.3477 0.5604
O19 0.3733 0.6523 0.4396
S5 0.3913 0.6096 0.1453
O20 0.3259 0.5160 0.2249
O21 0.1267 0.3477 0.9396
O22 0.0574 0.8328 0.0723
O23 0.1666 0.0693 0.4571
O24 0.5501 0.5912 0.1464
S6 0.1087 0.1096 0.3547
S7 0.0341 0.2500 0.0000
Ho4 0.2501 0.4644 0.3834
O25 0.0574 0.6672 0.9277
O26 0.5501 0.9088 0.8536
O27 0.6666 0.4307 0.9571
S8 0.6087 0.3904 0.8547
O28 0.5574 0.6672 0.5723
Ho5 0.7501 0.0356 0.8834
S9 0.4659 0.7500 0.5000
O29 0.1433 0.2388 0.6677
O30 0.1741 0.4840 0.7249
O31 0.1741 0.0160 0.2751
S10 0.8913 0.6096 0.3547
S11 0.8913 0.8904 0.6453
O32 0.6741 0.0160 0.2249
S12 0.9659 0.7500 0.0000
O33 0.3334 0.5693 0.0429
O34 0.4499 0.4088 0.8536
O35 0.4426 0.1672 0.5723
O36 0.1666 0.4307 0.5429
O37 0.4426 0.3328 0.4277
Ho6 0.7499 0.9644 0.3834
O38 0.6267 0.1523 0.4396
O39 0.5574 0.8328 0.4277
O40 0.8567 0.7612 0.3323
Ho7 0.2499 0.9644 0.1166
O41 0.6741 0.4840 0.7751
O42 0.6433 0.2388 0.8323
Ho8 0.2499 0.5356 0.8834
O43 0.3567 0.7388 0.8323
O44 0.3259 0.9840 0.7751
O45 0.0501 0.9088 0.6464
O46 0.9426 0.3328 0.0723
O47 0.9426 0.1672 0.9277
O48 0.3567 0.7612 0.1677

Entry from the Alexandria database: an optimized crystal structure of Nd2HoCd3 (GGA-PBE).

Calculated values
ΔH_f (0 K) = -0.313 eV per atom
Symmetry = No. 164

abc: 5.3919 5.3919 13.2396
angles: 90.00 90.00 120.00
Fractional coordinates of all 12 atoms:
Cd1 0.3333 0.6667 0.4185
Cd2 0.6667 0.3333 0.0865
Ho1 0.3333 0.6667 0.6667
Ho2 0.6667 0.3333 0.3333
Nd1 0.6667 0.3333 0.8297
Nd2 0.0000 0.0000 0.0000
Cd3 0.3333 0.6667 0.9135
Nd3 0.3333 0.6667 0.1703
Cd4 0.6667 0.3333 0.5815
Nd4 0.0000 0.0000 0.5000
Cd5 0.0000 0.0000 0.7459
Cd6 0.0000 0.0000 0.2541

Entry from the Alexandria database: an optimized crystal structure of SmZrZn4 (GGA-PBE).

Calculated values
ΔH_f (0 K) = -0.251 eV per atom
ΔE to the lowest computed polymorph = 46 meV/atom
Symmetry = No. 216

abc: 5.3866 5.3866 5.3866
angles: 60.00 60.00 60.00
Fractional coordinates of all 6 atoms:
Zn1 0.6260 0.1220 0.6260
Zr1 0.0000 0.0000 0.0000
Zn2 0.6260 0.6260 0.6260
Sm1 0.2500 0.2500 0.2500
Zn3 0.1220 0.6260 0.6260
Zn4 0.6260 0.6260 0.1220

no.,total magnetic moment (μB/cell),V (Å³/cell),DFT total energy (eV/atom)
1,0.00,369,-3.439
2,0.00,224,-5.095
3,0.00,64,-6.671
4,4.43,1169,-6.802
5,0.00,296,-3.614
6,0.00,69,-3.891
7,0.00,99,-6.419
8,0.00,225,-3.066
9,0.01,436,-5.628
10,0.00,1123,-6.940
11,2.31,333,-3.122
12,0.98,111,-3.312